(1)
Compound: ZrAu3
Source: Alexandria via LeMat-Bulk
Functional: PBE-GGA
Structure: relaxed

```
ZrAu3
1.0
3.080 0.000 0.000
-1.540 2.667 0.000
0.000 0.000 9.418
Zr Au
1 3
direct
0.000 0.000 0.000 Zr
0.000 0.000 0.500 Au
0.667 0.333 0.248 Au
0.667 0.333 0.752 Au
```

## Properties
space-group type: P-6m2
ΔE_f: -18.59 kJ per mole of atoms


(2)
Compound: ZrAu
Source: Alexandria via LeMat-Bulk
Functional: PBE-GGA
Structure: relaxed

```
ZrAu
1.0
5.092 0.000 0.000
0.000 6.178 0.000
0.000 0.000 10.428
Zr Au
8 8
direct
0.024 0.164 0.262 Zr
0.177 0.408 0.981 Zr
0.323 0.592 0.481 Zr
0.476 0.836 0.762 Zr
0.524 0.336 0.738 Zr
0.677 0.092 0.019 Zr
0.823 0.908 0.519 Zr
0.976 0.664 0.238 Zr
0.005 0.595 0.718 Au
0.183 0.890 0.020 Au
0.317 0.110 0.520 Au
0.495 0.405 0.218 Au
0.505 0.905 0.282 Au
0.683 0.610 0.980 Au
0.817 0.390 0.480 Au
0.995 0.095 0.782 Au
```

## Properties
space-group type: P2_12_12_1
ΔE_f: -36.74 kJ per mole of atoms


(3)
Compound: ZrAu2
Source: Alexandria via LeMat-Bulk
Functional: PBE-GGA
Structure: relaxed

```
ZrAu2
1.0
8.047 0.000 0.000
-4.024 6.969 0.000
0.000 0.000 3.187
Zr Au
3 6
direct
0.000 0.000 0.000 Zr
0.333 0.667 0.500 Zr
0.667 0.333 0.500 Zr
0.000 0.295 0.500 Au
0.000 0.631 0.000 Au
0.295 0.000 0.500 Au
0.369 0.369 0.000 Au
0.631 0.000 0.000 Au
0.705 0.705 0.500 Au
```

## Properties
space-group type: P-62m
ΔE_f: -32.05 kJ per mole of atoms


(4)
Compound: Zr2Au
Source: Alexandria via LeMat-Bulk
Functional: PBE-GGA
Structure: relaxed

```
Zr2Au
1.0
-1.543 1.543 13.538
1.543 -1.543 13.538
1.543 1.543 -13.538
Zr Au
4 2
direct
0.299 0.549 0.750 Zr
0.451 0.701 0.750 Zr
0.549 0.299 0.250 Zr
0.701 0.451 0.250 Zr
0.125 0.875 0.250 Au
0.875 0.125 0.750 Au
```

## Properties
space-group type: I4_1/amd
ΔE_f: -15.76 kJ per mole of atoms


(5)
Compound: Zr2Au
Source: Alexandria via LeMat-Bulk
Functional: PBE-GGA
Structure: relaxed

```
Zr2Au
1.0
4.601 0.000 0.000
0.000 4.601 0.000
0.000 0.000 3.439
Zr Au
2 1
direct
0.000 0.500 0.000 Zr
0.500 0.000 0.000 Zr
0.000 0.000 0.500 Au
```

## Properties
space-group type: P4/mmm
ΔE_f: 6.09 kJ per mole of atoms


(6)
Compound: ZrAu2
Source: Alexandria via LeMat-Bulk
Functional: PBE-GGA
Structure: relaxed

```
ZrAu2
1.0
6.589 0.000 0.000
0.000 6.589 0.000
0.000 0.000 6.589
Zr Au
4 8
direct
0.000 0.000 0.000 Zr
0.000 0.500 0.500 Zr
0.500 0.000 0.500 Zr
0.500 0.500 0.000 Zr
0.120 0.620 0.880 Au
0.120 0.880 0.380 Au
0.380 0.120 0.880 Au
0.380 0.380 0.380 Au
0.620 0.620 0.620 Au
0.620 0.880 0.120 Au
0.880 0.120 0.620 Au
0.880 0.380 0.120 Au
```

## Properties
space-group type: Pa-3
ΔE_f: 7.80 kJ per mole of atoms


(7)
Compound: BaB
Source: Alexandria via LeMat-Bulk
Functional: PBE-GGA
Structure: relaxed

```
BaB
1.0
12.252 0.000 0.000
0.000 12.252 0.000
0.000 0.000 3.287
Ba B
8 8
direct
0.000 0.331 0.000 Ba
0.000 0.669 0.000 Ba
0.331 0.000 0.000 Ba
0.341 0.341 0.500 Ba
0.341 0.659 0.500 Ba
0.659 0.341 0.500 Ba
0.659 0.659 0.500 Ba
0.669 0.000 0.000 Ba
0.155 0.500 0.500 B
0.178 0.500 0.000 B
0.500 0.155 0.500 B
0.500 0.178 0.000 B
0.500 0.822 0.000 B
0.500 0.845 0.500 B
0.822 0.500 0.000 B
0.845 0.500 0.500 B
```

## Properties
space-group type: P4/mmm
polymorph energy (0 for the lowest one): 86 meV per atom
ΔE_f: 12.90 kJ per mole of atoms


(8)
Compound: BaB
Source: Alexandria via LeMat-Bulk
Functional: PBE-GGA
Structure: relaxed

```
BaB
1.0
-4.259 4.259 4.259
4.259 -4.259 4.259
4.259 4.259 -4.259
Ba B
4 4
direct
0.000 0.000 0.419 Ba
0.000 0.419 0.000 Ba
0.419 0.000 0.000 Ba
0.581 0.581 0.581 Ba
0.000 0.000 0.854 B
0.000 0.854 0.000 B
0.146 0.146 0.146 B
0.854 0.000 0.000 B
```

## Properties
space-group type: I-43m
polymorph energy (0 for the lowest one): 426 meV per atom
ΔE_f: 45.72 kJ per mole of atoms


| no. | total magnetic moment (μB/f.u.) | energy (hartree per atom) |
| --- | --- | --- |
| 1 | 0.000 | -0.1759 |
| 2 | 0.000 | -0.2313 |
| 3 | 0.000 | -0.1972 |
| 4 | 0.000 | -0.2556 |
| 5 | 0.000 | -0.2473 |
| 6 | 0.000 | -0.1820 |
| 7 | 0.273 | -0.1531 |
| 8 | 0.008 | -0.1406 |